Record 1
# TmGaCo4

TmGaCo4 after structural relaxation (PBE, Alexandria via LeMat-Bulk).

extended XYZ file:
```
6
Lattice="0.000 3.441 3.441 3.441 0.000 3.441 3.441 3.441 0.000" Properties=species:S:1:pos:R:3 pbc="T T T"
Tm 0.000 0.000 0.000
Ga 1.720 1.720 1.720
Co 4.294 2.587 2.587
Co 2.587 4.294 2.587
Co 2.587 2.587 4.294
Co 4.294 4.294 4.294
```

## Properties
energy of formation from the pure elements = -1.3 eV/f.u.
crystal system = cubic
space group = F-43m (216)

***

Record 2
# TmGa5Co

TmGa5Co after structural relaxation (PBE, Alexandria via LeMat-Bulk).

extended XYZ file:
```
7
Lattice="4.200 0.000 0.000 0.000 4.200 0.000 0.000 0.000 6.775" Properties=species:S:1:pos:R:3 pbc="T T T"
Tm 0.000 0.000 0.000
Ga 0.000 2.100 2.090
Ga 0.000 2.100 4.686
Ga 2.100 0.000 2.090
Ga 2.100 0.000 4.686
Ga 2.100 2.100 0.000
Co 0.000 0.000 3.388
```

## Properties
energy of formation from the pure elements = -3.2 eV/f.u.
crystal system = tetragonal
space group = P4/mmm (123)

***

Record 3
# TmZnGa3Co

TmZnGa3Co after structural relaxation (PBE, Alexandria via LeMat-Bulk).

extended XYZ file:
```
12
Lattice="3.285 -5.924 0.000 3.285 5.924 0.000 0.000 0.000 5.629" Properties=species:S:1:pos:R:3 pbc="T T T"
Tm 3.285 3.520 4.222
Tm 3.285 -3.520 1.407
Zn 3.285 0.740 4.222
Zn 3.285 -0.740 1.407
Ga 1.293 0.000 0.000
Ga 1.293 0.000 2.815
Ga 3.285 1.986 1.407
Ga 3.285 -1.986 4.222
Ga 5.277 0.000 0.000
Ga 5.277 0.000 2.815
Co 3.285 4.362 1.407
Co 3.285 -4.362 4.222
```

## Properties
energy of formation from the pure elements = -0.4 eV/f.u.
crystal system = orthorhombic
space group = Cmcm (63)

***

Record 4
# TmZnGaCo

TmZnGaCo after structural relaxation (PBE, Alexandria via LeMat-Bulk).

extended XYZ file:
```
4
Lattice="0.000 3.192 3.192 3.192 0.000 3.192 3.192 3.192 0.000" Properties=species:S:1:pos:R:3 pbc="T T T"
Tm 0.000 0.000 0.000
Zn 1.596 1.596 1.596
Ga 3.192 3.192 3.192
Co 4.788 4.788 4.788
```

## Properties
energy of formation from the pure elements = -0.8 eV/f.u.
crystal system = cubic
space group = F-43m (216)

***

Record 5
# Tm2ZnGa2Co5

Tm2ZnGa2Co5 after structural relaxation (PBE, Alexandria via LeMat-Bulk).

extended XYZ file:
```
20
Lattice="9.334 0.000 0.000 0.000 9.334 0.000 0.000 0.000 3.381" Properties=species:S:1:pos:R:3 pbc="T T T"
Tm 1.617 3.050 0.000
Tm 3.050 7.717 0.000
Tm 6.284 1.617 0.000
Tm 7.717 6.284 0.000
Zn 0.000 0.000 0.000
Zn 4.667 4.667 0.000
Ga 1.162 5.829 0.000
Ga 3.505 1.162 0.000
Ga 5.829 8.172 0.000
Ga 8.172 3.505 0.000
Co 0.000 4.667 1.690
Co 0.571 7.477 1.690
Co 1.857 0.571 1.690
Co 2.810 5.238 1.690
Co 4.096 2.810 1.690
Co 4.667 0.000 1.690
Co 5.238 6.524 1.690
Co 6.524 4.096 1.690
Co 7.477 8.763 1.690
Co 8.763 1.857 1.690
```

## Properties
energy of formation from the pure elements = -1.7 eV/f.u.
crystal system = tetragonal
space group = P4/mbm (127)

***

Record 6
# TmZn2GaCo2

TmZn2GaCo2 after structural relaxation (PBE, Alexandria via LeMat-Bulk).

extended XYZ file:
```
6
Lattice="4.368 0.000 0.000 0.000 4.368 0.000 0.000 0.000 5.428" Properties=species:S:1:pos:R:3 pbc="T T T"
Tm 0.000 0.000 0.000
Zn 2.184 2.184 1.327
Zn 2.184 2.184 4.101
Ga 0.000 0.000 2.714
Co 0.000 2.184 2.714
Co 2.184 0.000 2.714
```

## Properties
energy of formation from the pure elements = 0.3 eV/f.u.
crystal system = tetragonal
space group = P4/mmm (123)

***

Which formula does entry 3 have?
TmZnGa3Co

***

What is the formula in the second record?
TmGa5Co